Record 1
# DySc2Sb2 (PBE-GGA, relaxed)
# Size of the total moment, μB per cell: 2.68
# Energy relative to the elements, uncorrected, eV per atom: -0.601
# V, A^3/atom: 27.7
# D(E_F), states/eV per cell: 23.66
data_DySc2Sb2
_chemical_formula_sum 'Dy4 Sc8 Sb8'
_symmetry_space_group_name_H-M 'C 1 2/c 1'
_symmetry_Int_Tables_number 15
_symmetry_space_group_name_Hall '-C 2yc'
_cell_length_a 9.859
_cell_length_b 11.523
_cell_length_c 5.869
_cell_angle_alpha 90.00
_cell_angle_beta 123.73
_cell_angle_gamma 90.00
loop_
_atom_site_label
_atom_site_fract_x
_atom_site_fract_y
_atom_site_fract_z
Dy1 0.000 0.099 0.250
Sc1 0.176 0.405 0.974
Sb1 0.000 0.179 0.750
Sb2 0.000 0.374 0.250

Record 2
# NaZrScSe2 (PBE-GGA, relaxed)
# Size of the total moment, μB per cell: 0.00
# Energy relative to the elements, uncorrected, eV per atom: -0.249
# V, A^3/atom: 29.3
# D(E_F), states/eV per cell: 3.17
data_NaZrScSe2
_chemical_formula_sum 'Na1 Zr1 Sc1 Se2'
_symmetry_space_group_name_H-M 'P 4/m m m'
_symmetry_Int_Tables_number 123
_symmetry_space_group_name_Hall '-P 4 2'
_cell_length_a 5.323
_cell_length_b 5.323
_cell_length_c 5.179
_cell_angle_alpha 90.00
_cell_angle_beta 90.00
_cell_angle_gamma 90.00
loop_
_atom_site_label
_atom_site_fract_x
_atom_site_fract_y
_atom_site_fract_z
Na1 0.000 0.000 0.000
Zr1 0.500 0.500 0.500
Sc1 0.500 0.500 0.000
Se1 0.000 0.500 0.500

Record 3
# Ca5Tb12Nd3 (PBE-GGA, relaxed)
# Size of the total moment, μB per cell: 0.00
# V, A^3/atom: 47.4
# D(E_F), states/eV per cell: 283.92
# Total DFT energy (no corrections), eV per atom: -3.08
data_Ca5Tb12Nd3
_chemical_formula_sum 'Ca40 Tb96 Nd24'
_symmetry_space_group_name_H-M 'I a -3 d'
_symmetry_Int_Tables_number 230
_symmetry_space_group_name_Hall '-I 4bd 2c 3'
_cell_length_a 19.642
_cell_length_b 19.642
_cell_length_c 19.642
_cell_angle_alpha 90.00
_cell_angle_beta 90.00
_cell_angle_gamma 90.00
loop_
_atom_site_label
_atom_site_fract_x
_atom_site_fract_y
_atom_site_fract_z
Ca1 0.000 0.000 0.000
Ca2 0.000 0.250 0.375
Tb1 0.002 0.084 0.146
Nd1 0.000 0.250 0.125

Record 4
# MnIr2Rh6 (PBE-GGA, relaxed)
# Size of the total moment, μB per cell: 4.90
# V, A^3/atom: 14.7
# Distance to the lowest polymorph of the same formula, meV per atom: 129
# D(E_F), states/eV per cell: 14.86
data_MnIr2Rh6
_chemical_formula_sum 'Mn1 Ir2 Rh6'
_symmetry_space_group_name_H-M 'P -3 1 m'
_symmetry_Int_Tables_number 162
_symmetry_space_group_name_Hall '-P 3 2'
_cell_length_a 7.5022
_cell_length_b 7.5022
_cell_length_c 2.7097
_cell_angle_alpha 90.00
_cell_angle_beta 90.00
_cell_angle_gamma 120.00
loop_
_atom_site_label
_atom_site_fract_x
_atom_site_fract_y
_atom_site_fract_z
Mn1 0.0000 0.0000 0.0000
Ir1 0.3333 0.6667 0.5000
Rh1 0.0000 0.3262 0.2624